Entry from Alexandria via LeMat-Bulk: a PBEsol-optimized structure of CeCo2As2 (meta-GGA SCAN).

The space group is I4/mmm (No. 139) and the conventional cell measures 3.9647, 3.9647 and 9.9812 Å, with angles of 90.00, 90.00 and 90.00 degrees. The asymmetric unit holds Ce at (0.0000, 0.0000, 0.0000), Co at (0.0000, 0.5000, 0.2500) and As at (0.0000, 0.0000, 0.3684).

As for the density of states at the Fermi level: 0.618 states/eV per atom. The formation enthalpy at 0 K is -370 kJ/mol of formula units.

***

Entry from Alexandria via LeMat-Bulk: a PBEsol-optimized structure of CeNi2As2 (meta-GGA SCAN).

The space group is P4/nmm (No. 129, origin choice 2) and the conventional cell measures 4.1671, 4.1671 and 9.1355 Å, with angles of 90.00, 90.00 and 90.00 degrees. The asymmetric unit holds Ce at (0.2500, 0.2500, 0.2457), Ni at (0.2500, 0.2500, 0.6175), Ni at (0.2500, 0.7500, 0.0000), As at (0.2500, 0.2500, 0.8712) and As at (0.2500, 0.7500, 0.5000).

As for the density of states at the Fermi level: 0.909 states/eV per atom. The formation enthalpy at 0 K is -439 kJ/mol of formula units.

***

Entry from Alexandria via LeMat-Bulk: a PBEsol-optimized structure of CeAsO4 (meta-GGA SCAN).

The space group is P2_1/c (No. 14) and the conventional cell measures 6.7140, 7.1288 and 8.2982 Å, with angles of 90.00, 126.06 and 90.00 degrees. The asymmetric unit holds Ce at (0.1832, 0.1529, 0.2831), As at (0.3096, 0.6635, 0.1963), O at (0.1011, 0.6557, 0.6067), O at (0.1711, 0.0062, 0.7455), O at (0.3480, 0.6099, 0.0143) and O at (0.3904, 0.2143, 0.1161).

Its uncorrected formation energy is -245.0 kJ per mole of atoms.

***

Please write out number 1 again, unchanged.
Entry from Alexandria via LeMat-Bulk: a PBEsol-optimized structure of CeCo2As2 (meta-GGA SCAN).

The space group is I4/mmm (No. 139) and the conventional cell measures 3.9647, 3.9647 and 9.9812 Å, with angles of 90.00, 90.00 and 90.00 degrees. The asymmetric unit holds Ce at (0.0000, 0.0000, 0.0000), Co at (0.0000, 0.5000, 0.2500) and As at (0.0000, 0.0000, 0.3684).

As for the density of states at the Fermi level: 0.618 states/eV per atom. The formation enthalpy at 0 K is -370 kJ/mol of formula units.